Compound: BeNiO
Source: Alexandria via LeMat-Bulk
Functional: PBE+U
Structure: relaxed

Lattice parameters (Å, degrees): 2.9651 3.1836 6.8191 90.00 90.00 90.00
Space group Pmmn (No. 59, origin choice 2)
Inequivalent atoms, fractional coordinates:
Be  0.2500  0.2500  0.0254
Ni  0.2500  0.7500  0.4144
O  0.2500  0.7500  0.0864

Output
D(E_F), states/eV/cell: 0.9
Total moment, μB/atom: 0.32
Energy, Ha/atom: -0.17788